# SrVCoAs2 | Alexandria | PBE | relaxed
data_SrVCoAs2
_chemical_formula_sum 'Sr1 V1 Co1 As2'
_cell_length_a 3.933
_cell_length_b 3.933
_cell_length_c 6.917
_cell_angle_alpha 106.51
_cell_angle_beta 106.51
_cell_angle_gamma 90.00
_symmetry_space_group_name_H-M 'P 1'
_symmetry_Int_Tables_number 1
loop_
_symmetry_equiv_pos_as_xyz
'x,y,z'
loop_
_atom_site_label
_atom_site_fract_x
_atom_site_fract_y
_atom_site_fract_z
V1 0.750 0.250 0.500
Co1 0.250 0.750 0.500
Sr1 0.000 0.000 0.000
As1 0.639 0.639 0.277
As2 0.361 0.361 0.723
# ΔE_f: -0.64 eV per atom

=====

# TaCo2As | Alexandria | PBE | relaxed
data_TaCo2As
_chemical_formula_sum 'Ta1 Co2 As1'
_cell_length_a 4.982
_cell_length_b 4.982
_cell_length_c 2.801
_cell_angle_alpha 76.11
_cell_angle_beta 76.11
_cell_angle_gamma 116.47
_symmetry_space_group_name_H-M 'P 1'
_symmetry_Int_Tables_number 1
loop_
_symmetry_equiv_pos_as_xyz
'x,y,z'
loop_
_atom_site_label
_atom_site_fract_x
_atom_site_fract_y
_atom_site_fract_z
Co1 0.500 0.500 0.000
Co2 0.000 0.000 0.000
Ta1 0.500 0.000 0.500
As1 0.000 0.500 0.500
# ΔE_f: 0.13 eV per atom

=====

# TaCo2As | Alexandria | PBE | relaxed
data_TaCo2As
_chemical_formula_sum 'Ta1 Co2 As1'
_cell_length_a 3.651
_cell_length_b 3.814
_cell_length_c 3.814
_cell_angle_alpha 90.00
_cell_angle_beta 90.00
_cell_angle_gamma 90.00
_symmetry_space_group_name_H-M 'P 1'
_symmetry_Int_Tables_number 1
loop_
_symmetry_equiv_pos_as_xyz
'x,y,z'
loop_
_atom_site_label
_atom_site_fract_x
_atom_site_fract_y
_atom_site_fract_z
Ta1 0.500 0.500 0.000
Co1 0.000 0.000 0.000
Co2 0.000 0.500 0.500
As1 0.500 0.000 0.500
# ΔE_f: -0.12 eV per atom